{"formula": "GdPb2BrO6", "functional": "PBE", "state": "relaxed", "final_energy_ev_per_atom": -5.44, "lattice_angstrom": [[-2.917, 2.917, 4.222], [2.917, -2.917, 4.222], [2.917, 2.917, -4.222]], "species": ["Gd", "Pb", "Pb", "Br", "O", "O", "O", "O", "O", "O"], "fractional_positions": [[0.000, 0.000, 0.000], [0.250, 0.750, 0.500], [0.750, 0.250, 0.500], [0.500, 0.500, 0.000], [0.207, 0.325, 0.532], [0.263, 0.263, 0.000], [0.325, 0.793, 0.118], [0.675, 0.207, 0.882], [0.737, 0.737, 0.000], [0.793, 0.675, 0.468]]}